PmTl2Co3F12 | PBE+U | optimized geometry

a = 6.9954 Å, b = 6.9954 Å, c = 6.9954 Å
α = 66.30°, β = 66.30°, γ = 66.30°
Site moments in Bohr magnetons follow the coordinates.
Fractional positions:
F 0.7378 0.7378 0.0960  0.09
F 0.6046 0.1298 0.1298  0.06
F 0.1298 0.6046 0.1298  0.06
F 0.0960 0.7378 0.7378  0.09
Tl 0.3866 0.3866 0.3866  0.01
F 0.7378 0.0960 0.7378  0.09
F 0.3954 0.8702 0.8702  0.06
Co 0.0000 0.0000 0.5000  2.98
F 0.8702 0.8702 0.3954  0.06
F 0.9040 0.2622 0.2622  0.09
F 0.1298 0.1298 0.6046  0.06
Tl 0.6134 0.6134 0.6134  0.01
F 0.2622 0.9040 0.2622  0.09
Pm 0.0000 0.0000 0.0000  0.00
F 0.2622 0.2622 0.9040  0.09
F 0.8702 0.3954 0.8702  0.06
Co 0.5000 0.0000 0.0000  2.98
Co 0.0000 0.5000 0.0000  2.98

## Properties
M_tot = 10.0 Bohr magnetons per cell
total DFT energy (no corrections) = -5.06 eV per atom